Record 1
Crystalline Rb3Tb2PmS6 at its relaxed geometry, computed with GGA-PBE.

Structure (POSCAR):
```
Rb3Tb2PmS6
1.0
7.154 -0.001 0.000
-3.577 6.196 0.000
-1.193 -2.065 7.702
S Tb Rb Pm
6 2 3 1
Cartesian
2.366 4.096 1.492
-0.039 4.130 6.210
-1.212 2.099 1.493
2.424 0.000 1.493
3.596 2.030 6.210
0.019 0.033 6.211
3.578 2.064 0.000
0.000 4.131 0.000
4.777 -0.006 3.851
1.192 2.065 3.851
-2.392 4.135 3.851
0.000 0.000 0.000
```

## Properties
Space-group type = C2/m, No. 12
Energy relative to the elements, uncorrected = -1.847 eV/atom



Record 2
Crystalline Pm7Sm12Mg at its relaxed geometry, computed with GGA-PBE.

Structure (POSCAR):
```
Pm7Sm12Mg
1.0
9.394 0.000 -3.321
-4.697 8.135 -3.321
0.000 0.000 9.963
Sm Mg Pm
12 1 7
Cartesian
1.251 6.150 3.316
4.693 4.159 3.326
1.143 1.991 3.247
0.004 3.977 -0.005
8.240 1.985 3.395
-3.544 6.150 -0.074
3.554 6.144 0.074
2.296 0.006 6.717
3.446 1.985 0.005
-1.255 6.144 6.637
2.401 8.129 -3.395
5.952 1.991 -3.316
0.000 0.000 0.000
-2.348 4.068 3.321
4.697 0.000 3.321
2.348 4.068 1.661
-2.348 4.068 -1.661
2.348 4.068 -3.321
4.697 0.000 -1.661
0.000 0.000 4.982
```

## Properties
Space-group type = Im-3, No. 204
DFT formation energy = 0.622 eV/atom



Record 3
Crystalline LaTb2Sn at its relaxed geometry, computed with GGA-PBE.

Structure (POSCAR):
```
LaTb2Sn
1.0
-1.108 -4.648 2.685
6.331 2.748 1.776
-3.005 3.646 5.072
Tb La Sn
4 2 2
Cartesian
2.685 2.207 4.930
1.302 3.886 7.264
0.915 -2.139 2.269
-0.468 -0.461 4.603
3.702 -1.045 5.313
-1.484 2.791 4.220
0.914 0.684 7.155
1.304 1.062 2.377
```

## Properties
Space-group type = Cmcm, No. 63
DFT formation energy = -0.329 eV/atom



Record 4
Crystalline BaMgAs2Br at its relaxed geometry, computed with GGA-PBE.

Structure (POSCAR):
```
BaMgAs2Br
1.0
6.207 0.000 0.000
0.000 6.207 0.000
0.000 0.000 6.060
Br Mg As Ba
1 1 2 1
Cartesian
0.000 0.000 3.030
3.104 3.104 3.030
3.104 0.000 0.000
0.000 3.104 0.000
0.000 0.000 0.000
```

## Properties
Space-group type = P4/mmm, No. 123
Energy relative to the elements, uncorrected = 0.379 eV/atom



Record 5
Crystalline Ce2NdPb3 at its relaxed geometry, computed with GGA-PBE.

Structure (POSCAR):
```
Ce2NdPb3
1.0
-3.954 -1.721 -2.355
1.928 -6.646 1.618
-5.566 0.561 8.936
Pb Ce Nd
6 4 2
Cartesian
-2.587 -1.651 0.424
-1.520 -5.326 1.320
-5.460 -4.587 7.394
-6.321 -1.617 6.670
-1.310 -2.503 4.029
-1.716 -5.688 7.038
-3.102 -2.323 6.906
-4.454 -1.633 3.547
0.076 -5.869 4.162
-3.490 -4.956 4.356
0.463 -2.683 1.183
-3.489 -5.510 9.884
```

## Properties
Space-group type = Pmma, No. 51
DFT formation energy = -0.378 eV/atom



Record 6
Crystalline CuHg2Pd3 at its relaxed geometry, computed with GGA-PBE.

Structure (POSCAR):
```
CuHg2Pd3
1.0
-0.403 3.016 -0.305
-0.794 0.192 2.947
10.232 1.636 2.649
Pd Cu Hg
3 1 2
Cartesian
0.000 0.000 0.000
3.679 0.588 0.952
6.553 1.048 1.697
4.517 2.422 2.646
1.254 1.900 1.801
7.781 2.943 3.491
```

## Properties
Space-group type = P4/mmm, No. 123
DFT formation energy = -0.151 eV/atom



Record 7
Crystalline AsSe2 at its relaxed geometry, computed with GGA-PBE.

Structure (POSCAR):
```
AsSe2
1.0
-0.605 -1.528 5.379
-1.597 -5.299 -1.002
5.117 -1.567 0.131
Se As
4 2
Cartesian
3.451 -2.205 2.900
-0.537 -6.189 1.608
-0.054 -4.354 4.714
2.968 -4.041 -0.206
1.721 -7.737 4.304
1.193 -0.658 0.203
```

## Properties
Space-group type = Cmcm, No. 63
Energy relative to the elements, uncorrected = 0.037 eV/atom



Record 8
Crystalline Rb2IrBr6O at its relaxed geometry, computed with GGA-PBE.

Structure (POSCAR):
```
Rb2IrBr6O
1.0
8.230 0.000 0.000
0.000 8.230 0.000
4.115 4.115 4.615
Br Ir O Rb
6 1 1 2
Cartesian
6.453 6.453 0.000
8.230 8.230 2.540
1.777 6.453 0.000
1.777 1.777 0.000
6.453 1.777 0.000
4.115 4.115 2.075
0.000 0.000 0.000
4.115 4.115 0.000
8.230 4.115 2.308
4.115 8.230 2.308
```

## Properties
Space-group type = I4/mmm, No. 139
Energy relative to the elements, uncorrected = -0.613 eV/atom



Record 9
Crystalline LiAlTe at its relaxed geometry, computed with GGA-PBE.

Structure (POSCAR):
```
LiAlTe
1.0
-2.478 3.109 -1.170
1.236 -2.820 -2.773
-7.781 -5.429 2.053
Te Li Al
2 2 2
Cartesian
-3.636 -0.398 -0.698
-6.625 -2.484 0.090
-1.287 -1.600 -1.527
-6.498 -5.235 -0.152
-1.239 1.273 -1.330
-3.892 -3.417 -0.839
```

## Properties
Space-group type = P-6m2, No. 187
Energy relative to the elements, uncorrected = -0.180 eV/atom



Record 10
Crystalline CoSbP2 at its relaxed geometry, computed with GGA-PBE.

Structure (POSCAR):
```
CoSbP2
1.0
4.970 -0.012 0.003
0.701 4.920 -0.003
-1.786 -3.667 2.839
Sb P Co
1 2 1
Cartesian
2.752 2.382 0.000
3.309 -0.354 1.421
0.070 0.061 0.000
0.590 1.606 1.418
```

## Properties
Space-group type = Imm2, No. 44
Energy relative to the elements, uncorrected = 0.482 eV/atom



Record 11
Crystalline La6TbPmEr2 at its relaxed geometry, computed with GGA-PBE.

Structure (POSCAR):
```
La6TbPmEr2
1.0
-2.656 0.892 -8.794
0.594 -8.990 -1.225
-8.219 2.856 2.637
Er La Pm Tb
4 12 2 2
Cartesian
-8.598 -3.224 -6.966
-3.819 -0.486 -4.459
-1.683 -2.018 -0.416
-6.462 -4.756 -2.923
-6.973 -0.032 -6.840
-3.307 -5.209 -0.542
-7.258 -1.238 -3.790
-4.717 1.307 -1.604
-3.023 -4.003 -3.592
-6.683 1.771 1.122
-1.638 -6.349 -6.069
-2.196 -3.421 -7.688
-8.084 -1.821 0.305
-8.643 1.107 -1.314
-3.597 -7.013 -8.504
-5.563 -6.548 -5.779
-5.051 -2.071 -1.241
-5.230 -3.170 -6.142
-9.563 2.654 -4.242
-0.718 -7.896 -3.140
```

## Properties
Space-group type = C2/c, No. 15
DFT formation energy = 0.110 eV/atom



Record 12
Crystalline La4MgCd2 at its relaxed geometry, computed with GGA-PBE.

Structure (POSCAR):
```
La4MgCd2
1.0
-1.452 -5.194 -1.081
3.386 -3.266 -2.850
4.402 -5.418 6.131
La Cd Mg
4 2 1
Cartesian
2.906 -4.384 3.169
4.442 -7.820 3.623
3.430 -9.494 -0.969
1.894 -6.058 -1.423
1.474 -3.393 0.332
4.862 -10.484 1.868
0.000 0.000 0.000
```

## Properties
Space-group type = R-3m, No. 166
DFT formation energy = -0.131 eV/atom